La2NbGaRu, single point on PBEsol structure, DFT SCAN; total energy = -167.49 eV/f.u.; DFT formation energy = 0.60 eV per atom
1.0
-0.028 2.864 -3.425
-4.899 2.007 1.718
2.642 3.769 3.130
Ru Nb Ga La
1 1 1 2
Direct
0.500 0.000 0.000
0.500 0.500 0.500
0.000 0.000 0.000
0.000 0.000 0.500
0.000 0.500 0.000